TiFePdRh | the Alexandria database | GGA-PBE | relaxed; space group = F-43m (216); DFT total energy = -0.2779 hartree per atom; total magnetic moment = 3.18 μB per formula unit; energy relative to the elements = -0.336 eV/atom
1.0
-1.178 -3.824 1.699
-1.431 -3.182 -2.593
2.454 -3.525 -0.671
Ti Pd Rh Fe
1 1 1 1
direct
0.000 0.000 0.000
0.250 0.250 0.250
0.750 0.750 0.750
0.500 0.500 0.500